Density functional theory data (GGA-PBE) for an optimized crystal structure of HgPb.

Structure (POSCAR):
```
HgPb
1.0
-1.3026 1.5423 -2.9153
-5.0857 -2.1149 1.1535
-1.2658 4.7121 3.0584
Pb Hg
2 2
Cartesian
-1.2799 3.1113 0.0613
-2.9691 0.5291 1.6066
-1.2440 4.6309 3.0057
-4.2708 3.7216 1.7205
```

Summary:
Formation energy (eV per atom): 0.0233
Space-group type: Pmmn
Magnetic moment (μB per cell): 0.0
Total DFT energy (no corrections) (eV per atom): -1.9818
Density (g/cm³): 11.8
Crystal system: orthorhombic